Compound: BaNd5In3
Source: Alexandria via LeMat-Bulk
Functional: PBE
Structure: optimized geometry

a = 7.0978 Å, b = 9.7524 Å, c = 9.7529 Å
α = 120.00°, β = 90.00°, γ = 90.00°
Sites, in units of the cell vectors:
In (0.2500, 0.6604, 0.6605)
In (0.2500, 0.9999, 0.3395)
In (0.2500, 0.3396, 0.0000)
In (0.7500, 0.6604, 0.0000)
In (0.7500, 0.3396, 0.3395)
In (0.7500, 0.0001, 0.6605)
Nd (0.2500, 0.6636, 0.0000)
Nd (0.0000, 0.6667, 0.3334)
Nd (0.7500, 0.6635, 0.6635)
Nd (0.5000, 0.3333, 0.6666)
Nd (0.5000, 0.6667, 0.3334)
Nd (0.2500, 0.3365, 0.3365)
Nd (0.7500, 0.3364, 0.0000)
Nd (0.2500, 0.0000, 0.6635)
Nd (0.0000, 0.3333, 0.6666)
Nd (0.7500, 0.0000, 0.3365)
Ba (0.0000, 0.0000, 0.0000)
Ba (0.5000, 0.0000, 0.0000)

SG: P6_3/mcm (193)

=====

Compound: ThFe2Co3
Source: Alexandria via LeMat-Bulk
Functional: PBE
Structure: optimized geometry

a = 5.0354 Å, b = 5.0354 Å, c = 4.0434 Å
α = 90.00°, β = 90.00°, γ = 121.28°
Sites, in units of the cell vectors:
Fe (0.0000, 0.5000, 0.5000)
Fe (0.5000, 0.0000, 0.5000)
Co (0.3139, 0.6861, 0.0000)
Co (0.5000, 0.5000, 0.5000)
Co (0.6861, 0.3139, 0.0000)
Th (0.0000, 0.0000, 0.0000)

SG: Cmmm (65)

=====

Number 1: energy relative to the elements -0.294 eV per atom, total moment 0.02 Bohr magnetons per cell, total energy -73.2 eV/cell. Number 2: energy relative to the elements -0.124 eV per atom, total moment 7.86 Bohr magnetons per cell, total energy -46.4 eV/cell.